A plane-wave DFT calculation with GGA-PBE was carried out for an optimized crystal structure of Na10B13C7.

a b c (Å): 7.5938 7.5941 10.2672
angles (deg): 121.77 121.80 38.57
With the nearest neighbours (Å) after each atom.
Fractional positions:
B (0.1455, 0.8551, 0.7504)  1 C 1.55, 1 B 1.73
B (0.4335, 0.7671, 0.2501)  3 C 1.62-1.70
B (0.5784, 0.2206, 0.7502)  2 C 1.63-1.64, 1 B 1.71
B (0.7798, 0.4215, 0.7498)  2 C 1.62-1.64, 1 B 1.71
B (0.0302, 0.3586, 0.2500)  2 C 1.62-1.66, 1 B 1.73
B (0.6155, 0.9846, 0.2502)  2 C 1.63, 1 B 1.77
B (0.9523, 0.6386, 0.7498)  2 C 1.62-1.64, 1 B 1.75
B (0.4388, 0.7621, 0.7499)  3 B 1.71-1.75
B (0.2379, 0.5615, 0.7506)  3 B 1.71-1.75
B (0.8331, 0.1665, 0.2500)  3 C 1.62-1.70
B (0.2413, 0.5698, 0.2499)  2 C 1.62-1.66, 1 B 1.73
B (0.9679, 0.6320, 0.2498)  3 B 1.73-1.77
B (0.3610, 0.0474, 0.7496)  2 C 1.62-1.63, 1 B 1.75
Na (0.2016, 0.2006, 0.0030)  8 B 2.63-2.74, 4 C 2.69-2.72, 6 Na 2.86-2.89
Na (0.9985, 0.9992, 0.4972)  8 B 2.68-2.74, 4 C 2.69-2.72, 6 Na 2.87-2.90
Na (0.2001, 0.1992, 0.4994)  7 B 2.65-2.74, 5 C 2.68-2.71, 6 Na 2.87-2.89
Na (0.6010, 0.5996, 0.0010)  9 B 2.69-2.78, 3 C 2.71-2.72, 6 Na 2.88-2.89
Na (0.3997, 0.3989, 0.0005)  7 B 2.64-2.74, 5 C 2.68-2.72, 6 Na 2.86-2.90
Na (0.4007, 0.3982, 0.4988)  9 B 2.64-2.79, 3 C 2.70-2.72, 6 Na 2.87-2.90
Na (0.7987, 0.7995, 0.4975)  8 B 2.68-2.74, 4 C 2.69-2.72, 6 Na 2.87-2.90
Na (0.9999, 0.0016, 0.0007)  7 B 2.65-2.73, 5 C 2.69-2.71, 6 Na 2.86-2.90
Na (0.6003, 0.5993, 0.4992)  7 B 2.65-2.74, 5 C 2.68-2.71, 6 Na 2.87-2.89
Na (0.8024, 0.8010, 0.0026)  8 B 2.67-2.76, 4 C 2.69-2.74, 6 Na 2.86-2.89
C (0.0346, 0.3648, 0.7492)  3 B 1.62-1.64
C (0.3658, 0.0321, 0.2504)  3 B 1.63-1.66
C (0.1742, 0.8315, 0.2500)  3 B 1.62-1.70
C (0.7685, 0.4258, 0.2499)  3 B 1.62-1.70
C (0.5681, 0.2343, 0.2500)  3 B 1.63-1.66
C (0.8363, 0.1638, 0.7502)  3 B 1.55-1.64
C (0.6346, 0.9652, 0.7499)  3 B 1.62-1.63

Properties
The calculation puts the total moment at 0.00 Bohr magnetons per cell. The calculation puts the total energy at -5.3646 eV/atom. Its energy above the most stable polymorph in this dataset is 0.036 eV/atom. Its formation energy is 0.121 eV/atom.